one | A relaxed structure of Y7Er3Tm2. Source: Alexandria via LeMat-Bulk, functional GGA-PBE.

Output
mass density = 6.4 g/cm³
crystal system = monoclinic

Geometry as CIF:
```
data_Y7Er3Tm2
_space_group_name_H-M_alt 'P 1'
_space_group_IT_number 1
_space_group_name_Hall 'P 1'
_cell_length_a 3.564
_cell_length_b 5.762
_cell_length_c 18.583
_cell_angle_alpha 93.66
_cell_angle_beta 90.00
_cell_angle_gamma 90.00
loop_
_atom_site_label
_atom_site_type_symbol
_atom_site_fract_x
_atom_site_fract_y
_atom_site_fract_z
_atom_site_occupancy
Y1 Y 0.500 0.742 0.464 1
Y2 Y 0.500 0.184 0.182 1
Tm1 Tm 0.500 0.706 0.295 1
Er1 Er 0.000 0.219 0.367 1
Er2 Er 0.500 0.500 0.000 1
Y3 Y 0.500 0.258 0.536 1
Tm2 Tm 0.500 0.294 0.705 1
Er3 Er 0.000 0.781 0.633 1
Y4 Y 0.000 0.680 0.144 1
Y5 Y 0.500 0.816 0.818 1
Y6 Y 0.000 0.000 0.000 1
Y7 Y 0.000 0.320 0.856 1
```

two | A relaxed structure of Y7Er3Tm2. Source: Alexandria via LeMat-Bulk, functional GGA-PBE.

Output
mass density = 6.3 g/cm³
crystal system = monoclinic

Geometry as CIF:
```
data_Y7Er3Tm2
_space_group_name_H-M_alt 'P 1'
_space_group_IT_number 1
_space_group_name_Hall 'P 1'
_cell_length_a 3.528
_cell_length_b 6.342
_cell_length_c 17.101
_cell_angle_alpha 90.15
_cell_angle_beta 90.00
_cell_angle_gamma 90.00
loop_
_atom_site_label
_atom_site_type_symbol
_atom_site_fract_x
_atom_site_fract_y
_atom_site_fract_z
_atom_site_occupancy
Y1 Y 0.000 0.676 0.166 1
Y2 Y 0.500 0.176 0.169 1
Y3 Y 0.500 0.244 0.497 1
Tm1 Tm 0.500 0.508 0.326 1
Er1 Er 0.500 0.500 0.000 1
Er2 Er 0.000 0.998 0.658 1
Y4 Y 0.500 0.824 0.831 1
Tm2 Tm 0.500 0.492 0.674 1
Y5 Y 0.000 0.000 0.000 1
Y6 Y 0.500 0.756 0.503 1
Y7 Y 0.000 0.324 0.834 1
Er3 Er 0.000 0.002 0.342 1
```

The most stable arrangement is two, and the next structure is 21 meV/atom less stable.

one | A relaxed structure of Y2ErTm7. Source: Alexandria via LeMat-Bulk, functional GGA-PBE.

Output
mass density = 8.1 g/cm³
crystal system = orthorhombic

Geometry as CIF:
```
data_Y2ErTm7
_space_group_name_H-M_alt 'P 1'
_space_group_IT_number 1
_space_group_name_Hall 'P 1'
_cell_length_a 3.484
_cell_length_b 14.534
_cell_length_c 14.534
_cell_angle_alpha 154.71
_cell_angle_beta 90.00
_cell_angle_gamma 90.00
loop_
_atom_site_label
_atom_site_type_symbol
_atom_site_fract_x
_atom_site_fract_y
_atom_site_fract_z
_atom_site_occupancy
Tm1 Tm 0.500 0.655 0.851 1
Y1 Y 0.500 0.290 0.710 1
Tm2 Tm 0.000 0.184 0.816 1
Y2 Y 0.500 0.710 0.290 1
Tm3 Tm 0.000 0.816 0.184 1
Tm4 Tm 0.500 0.149 0.345 1
Tm5 Tm 0.500 0.345 0.149 1
Er1 Er 0.000 0.000 0.000 1
Tm6 Tm 0.500 0.500 0.500 1
Tm7 Tm 0.500 0.851 0.655 1
```

two | A relaxed structure of Y2ErTm7. Source: Alexandria via LeMat-Bulk, functional GGA-PBE.

Output
mass density = 8.2 g/cm³
crystal system = monoclinic

Geometry as CIF:
```
data_Y2ErTm7
_space_group_name_H-M_alt 'P 1'
_space_group_IT_number 1
_space_group_name_Hall 'P 1'
_cell_length_a 3.464
_cell_length_b 15.015
_cell_length_c 15.015
_cell_angle_alpha 156.76
_cell_angle_beta 89.92
_cell_angle_gamma 89.92
loop_
_atom_site_label
_atom_site_type_symbol
_atom_site_fract_x
_atom_site_fract_y
_atom_site_fract_z
_atom_site_occupancy
Tm1 Tm 0.269 0.655 0.854 1
Tm2 Tm 0.500 0.500 0.500 1
Er1 Er 0.000 0.000 0.000 1
Tm3 Tm 0.731 0.345 0.146 1
Tm4 Tm 0.000 0.690 0.310 1
Y1 Y 0.500 0.208 0.792 1
Tm5 Tm 0.269 0.854 0.655 1
Tm6 Tm 0.000 0.310 0.690 1
Tm7 Tm 0.731 0.146 0.345 1
Y2 Y 0.500 0.792 0.208 1
```

The most stable arrangement is two, and the next structure is 34 meV/atom less stable.

one | A relaxed structure of Y2Er3Tm. Source: Alexandria via LeMat-Bulk, functional GGA-PBE.

Output
mass density = 7.6 g/cm³
crystal system = monoclinic

Geometry as CIF:
```
data_Y2Er3Tm
_space_group_name_H-M_alt 'P 1'
_space_group_IT_number 1
_space_group_name_Hall 'P 1'
_cell_length_a 6.102
_cell_length_b 7.053
_cell_length_c 9.331
_cell_angle_alpha 112.21
_cell_angle_beta 90.01
_cell_angle_gamma 90.00
loop_
_atom_site_label
_atom_site_type_symbol
_atom_site_fract_x
_atom_site_fract_y
_atom_site_fract_z
_atom_site_occupancy
Er1 Er 0.918 0.710 0.669 1
Er2 Er 0.082 0.290 0.331 1
Y1 Y 0.416 0.459 0.667 1
Y2 Y 0.084 0.792 0.333 1
Y3 Y 0.584 0.541 0.333 1
Er3 Er 0.418 0.959 0.669 1
Er4 Er 0.582 0.041 0.331 1
Y4 Y 0.916 0.208 0.667 1
Tm1 Tm 0.250 0.876 0.000 1
Er5 Er 0.250 0.374 0.000 1
Er6 Er 0.750 0.626 0.000 1
Tm2 Tm 0.750 0.124 0.000 1
```

two | A relaxed structure of Y2Er3Tm. Source: Alexandria via LeMat-Bulk, functional GGA-PBE.

Output
mass density = 6.9 g/cm³
crystal system = orthorhombic

Geometry as CIF:
```
data_Y2Er3Tm
_space_group_name_H-M_alt 'P 1'
_space_group_IT_number 1
_space_group_name_Hall 'P 1'
_cell_length_a 5.545
_cell_length_b 8.921
_cell_length_c 8.921
_cell_angle_alpha 112.84
_cell_angle_beta 90.00
_cell_angle_gamma 90.00
loop_
_atom_site_label
_atom_site_type_symbol
_atom_site_fract_x
_atom_site_fract_y
_atom_site_fract_z
_atom_site_occupancy
Er1 Er 0.994 0.370 0.886 1
Er2 Er 0.994 0.886 0.370 1
Er3 Er 0.492 0.912 0.912 1
Y1 Y 0.493 0.711 0.494 1
Tm1 Tm 0.992 0.729 0.729 1
Er4 Er 0.992 0.088 0.088 1
Y2 Y 0.993 0.289 0.506 1
Y3 Y 0.993 0.506 0.289 1
Y4 Y 0.493 0.494 0.711 1
Er5 Er 0.494 0.114 0.630 1
Er6 Er 0.494 0.630 0.114 1
Tm2 Tm 0.492 0.271 0.271 1
```

The most stable arrangement is one, and the next structure is 331 meV/atom less stable.

one | A relaxed structure of Y12Er6Tm. Source: Alexandria via LeMat-Bulk, functional GGA-PBE.

Output
mass density = 5.9 g/cm³
crystal system = trigonal

Geometry as CIF:
```
data_Y12Er6Tm
_space_group_name_H-M_alt 'P 1'
_space_group_IT_number 1
_space_group_name_Hall 'P 1'
_cell_length_a 9.105
_cell_length_b 9.105
_cell_length_c 9.105
_cell_angle_alpha 106.67
_cell_angle_beta 106.67
_cell_angle_gamma 106.67
loop_
_atom_site_label
_atom_site_type_symbol
_atom_site_fract_x
_atom_site_fract_y
_atom_site_fract_z
_atom_site_occupancy
Er1 Er 0.078 0.185 0.451 1
Er2 Er 0.185 0.451 0.078 1
Er3 Er 0.922 0.815 0.549 1
Y1 Y 0.579 0.484 0.190 1
Y2 Y 0.190 0.579 0.484 1
Y3 Y 0.175 0.718 0.866 1
Er4 Er 0.815 0.549 0.922 1
Y4 Y 0.516 0.810 0.421 1
Tm1 Tm 0.000 0.000 0.000 1
Y5 Y 0.134 0.825 0.282 1
Y6 Y 0.825 0.282 0.134 1
Er5 Er 0.451 0.078 0.185 1
Y7 Y 0.421 0.516 0.810 1
Y8 Y 0.282 0.134 0.825 1
Y9 Y 0.718 0.866 0.175 1
Y10 Y 0.866 0.175 0.718 1
Y11 Y 0.484 0.190 0.579 1
Er6 Er 0.549 0.922 0.815 1
Y12 Y 0.810 0.421 0.516 1
```

two | A relaxed structure of Y12Er6Tm. Source: Alexandria via LeMat-Bulk, functional GGA-PBE.

Output
mass density = 6.0 g/cm³
crystal system = trigonal

Geometry as CIF:
```
data_Y12Er6Tm
_space_group_name_H-M_alt 'P 1'
_space_group_IT_number 1
_space_group_name_Hall 'P 1'
_cell_length_a 8.520
_cell_length_b 8.520
_cell_length_c 8.520
_cell_angle_alpha 87.85
_cell_angle_beta 87.85
_cell_angle_gamma 87.85
loop_
_atom_site_label
_atom_site_type_symbol
_atom_site_fract_x
_atom_site_fract_y
_atom_site_fract_z
_atom_site_occupancy
Y1 Y 0.200 0.360 0.011 1
Er1 Er 0.907 0.305 0.744 1
Y2 Y 0.223 0.457 0.564 1
Y3 Y 0.989 0.800 0.640 1
Y4 Y 0.543 0.436 0.777 1
Y5 Y 0.800 0.640 0.989 1
Er2 Er 0.695 0.256 0.093 1
Y6 Y 0.457 0.564 0.223 1
Y7 Y 0.436 0.777 0.543 1
Tm1 Tm 0.000 0.000 0.000 1
Er3 Er 0.256 0.093 0.695 1
Y8 Y 0.011 0.200 0.360 1
Y9 Y 0.360 0.011 0.200 1
Er4 Er 0.093 0.695 0.256 1
Er5 Er 0.744 0.907 0.305 1
Er6 Er 0.305 0.744 0.907 1
Y10 Y 0.777 0.543 0.436 1
Y11 Y 0.640 0.989 0.800 1
Y12 Y 0.564 0.223 0.457 1
```

The most stable arrangement is two, and the next structure is 109 meV/atom less stable.